Crystalline Ca3Pt at its relaxed geometry, computed with GGA-PBEsol.

Cell and atoms, written as extended XYZ:
```
4
Lattice="-3.4500 -3.0232 0.9975 1.1593 0.1768 4.5456 -2.9649 3.5870 0.6166" Properties=species:S:1:pos:R:3 pbc="T T T"
Ca -1.4825 1.7935 0.3083
Ca -1.7250 -1.5116 0.4987
Ca 0.5796 0.0884 2.2728
Pt -2.6279 0.3703 3.0798
```

Summary:
DFT total energy in eV/cell: -14.4
ΔH_f (0 K) in meV per atom: -263
Space group: Pm-3m, No. 221
M_tot in μB/f.u.: 0.0